# 1
## Pm2EuIr (GGA-PBE)

Data for Pm2EuIr after structural relaxation.

Structure (POSCAR):
```
Pm2EuIr
1.0
3.600 0.000 0.000
0.000 3.600 0.000
0.000 0.000 9.536
Pm Eu Ir
2 1 1
direct
0.000 0.000 0.172
0.000 0.000 0.828
0.500 0.500 0.500
0.500 0.500 0.000
```

* theoretical density: 8.52 Mg/m³
* total magnetic moment: 1.9326 μB/atom
* energy above the lowest structure with this stoichiometry: 0 kJ/mol of formula units
* formation energy: -1.21 eV per formula unit
* symmetry: P4/mmm


# 2
## Pm2EuIr (GGA-PBE)

Data for Pm2EuIr after structural relaxation.

Structure (POSCAR):
```
Pm2EuIr
1.0
0.000 3.709 3.709
3.709 0.000 3.709
3.709 3.709 0.000
Pm Eu Ir
2 1 1
direct
0.250 0.250 0.250
0.750 0.750 0.750
0.000 0.000 0.000
0.500 0.500 0.500
```

* theoretical density: 10.32 Mg/m³
* total magnetic moment: 1.8549 μB/atom
* energy above the lowest structure with this stoichiometry: 88 kJ/mol of formula units
* formation energy: -0.30 eV per formula unit
* symmetry: Fm-3m


# 3
## PmPrEuIr (GGA-PBE)

Data for PmPrEuIr after structural relaxation.

Structure (POSCAR):
```
PmPrEuIr
1.0
0.000 3.730 3.730
3.730 0.000 3.730
3.730 3.730 0.000
Pm Pr Eu Ir
1 1 1 1
direct
0.000 0.000 0.000
0.500 0.500 0.500
0.750 0.750 0.750
0.250 0.250 0.250
```

* theoretical density: 10.08 Mg/m³
* total magnetic moment: 1.8442 μB/atom
* formation energy: -0.21 eV per formula unit
* symmetry: F-43m


# 4
## PmEuIrRu (GGA-PBE)

Data for PmEuIrRu after structural relaxation.

Structure (POSCAR):
```
PmEuIrRu
1.0
0.000 3.493 3.493
3.493 0.000 3.493
3.493 3.493 0.000
Pm Eu Ir Ru
1 1 1 1
direct
0.000 0.000 0.000
0.500 0.500 0.500
0.250 0.250 0.250
0.750 0.750 0.750
```

* theoretical density: 11.50 Mg/m³
* total magnetic moment: 1.5881 μB/atom
* formation energy: -0.54 eV per formula unit
* symmetry: F-43m